1.
{"formula": "TiTc3Pt", "functional": "PBE", "state": "optimized geometry", "lattice_angstrom": [[-1.9277, 0.3175, -3.9922], [-3.7555, -1.6821, 1.6796], [-1.3909, 4.1017, 0.9978]], "species": ["Tc", "Tc", "Tc", "Pt", "Ti"], "fractional_positions": [[0.0000, 0.5000, 0.0000], [0.0000, 0.0000, 0.5000], [0.5000, 0.0000, 0.0000], [0.5000, 0.5000, 0.5000], [0.0000, 0.0000, 0.0000]], "space_group": "Pm-3m, No. 221", "formation_enthalpy_0k_ev_per_fu": 6.4}

---

2.
{"formula": "TiTcPt", "functional": "PBE", "state": "optimized geometry", "lattice_angstrom": [[4.1964, 0.0000, 0.0000], [0.0000, 2.7196, 0.0000], [0.0000, 1.3598, 8.0715]], "species": ["Pt", "Pt", "Ti", "Ti", "Tc", "Tc"], "fractional_positions": [[0.2500, 0.1119, 0.7763], [0.7500, 0.8881, 0.2237], [0.2500, 0.4470, 0.1060], [0.7500, 0.5530, 0.8940], [0.7500, 0.7159, 0.5683], [0.2500, 0.2841, 0.4317]], "space_group": "Cmcm, No. 63", "formation_enthalpy_0k_ev_per_fu": -1.0}

---

3.
{"formula": "Tl2TcPt", "functional": "PBE", "state": "optimized geometry", "lattice_angstrom": [[-1.1782, -1.1813, 2.4900], [2.6960, 0.0676, 1.3078], [-1.8270, 8.8023, 3.3116]], "species": ["Pt", "Tc", "Tl", "Tl"], "fractional_positions": [[0.0000, 0.0000, 0.5479], [0.5000, 0.5000, 0.7136], [0.0000, 0.0000, 0.9521], [0.5000, 0.5000, 0.2863]], "space_group": "P4mm, No. 99", "formation_enthalpy_0k_ev_per_fu": 1.3, "de_polymorph_mev_per_atom": 0}

---

4.
{"formula": "Tl2TcPt", "functional": "PBE", "state": "optimized geometry", "lattice_angstrom": [[-0.2097, -0.4873, -2.9051], [-1.4409, -3.3626, 0.6681], [-7.5098, 3.2185, 0.0022]], "species": ["Pt", "Tc", "Tl", "Tl"], "fractional_positions": [[0.0000, 0.0000, 0.5603], [0.5000, 0.5000, 0.6962], [0.0000, 0.0000, 0.9504], [0.5000, 0.5000, 0.2931]], "space_group": "Pmm2, No. 25", "formation_enthalpy_0k_ev_per_fu": 1.5, "de_polymorph_mev_per_atom": 33}

---

5.
{"formula": "Tl2TcPt", "functional": "PBE", "state": "optimized geometry", "lattice_angstrom": [[9.7658, -0.0407, -0.0239], [9.2785, 3.0465, -0.0239], [9.2785, 1.4644, 2.6715]], "species": ["Pt", "Tc", "Tl", "Tl"], "fractional_positions": [[0.4917, 0.4917, 0.4917], [0.7573, 0.7573, 0.7573], [0.0083, 0.0083, 0.0083], [0.2427, 0.2427, 0.2427]], "space_group": "R3m, No. 160", "formation_enthalpy_0k_ev_per_fu": 1.9, "de_polymorph_mev_per_atom": 132}

---

6.
{"formula": "Tl2TcPt", "functional": "PBE", "state": "optimized geometry", "lattice_angstrom": [[-1.2201, -2.2011, -1.7743], [2.8366, -0.6514, 1.0054], [-3.5010, -3.9560, 7.3151]], "species": ["Pt", "Tc", "Tl", "Tl"], "fractional_positions": [[0.5000, 0.5000, 0.2500], [0.5000, 0.5000, 0.7500], [0.0000, 0.0000, 0.0000], [0.0000, 0.0000, 0.5000]], "space_group": "Cmmm, No. 65", "formation_enthalpy_0k_ev_per_fu": 2.3, "de_polymorph_mev_per_atom": 231}

---

7.
{"formula": "Tl2TcPt", "functional": "PBE", "state": "optimized geometry", "lattice_angstrom": [[-2.1135, 1.2667, 4.2144], [-2.4565, -3.3261, 2.5953], [1.8186, -1.6265, 4.2284]], "species": ["Pt", "Tc", "Tl", "Tl"], "fractional_positions": [[0.5000, 0.5000, 0.5000], [0.7500, 0.7500, 0.7500], [0.0000, 0.0000, 0.0000], [0.2500, 0.2500, 0.2500]], "space_group": "F-43m, No. 216", "formation_enthalpy_0k_ev_per_fu": 2.6, "de_polymorph_mev_per_atom": 323}

---

8.
{"formula": "Tl2TcPt", "functional": "PBE", "state": "optimized geometry", "lattice_angstrom": [[-1.0973, 3.5529, 4.1468], [-5.2246, 0.2003, 1.9200], [3.7895, -3.9285, -1.1091]], "species": ["Pt", "Tc", "Tl", "Tl"], "fractional_positions": [[0.5000, 0.5000, 0.0000], [0.7500, 0.2500, 0.5000], [0.0000, 0.0000, 0.0000], [0.2500, 0.7500, 0.5000]], "space_group": "I-4m2, No. 119", "formation_enthalpy_0k_ev_per_fu": 2.2, "de_polymorph_mev_per_atom": 228}

---

9.
{"formula": "TlTcPt3", "functional": "PBE", "state": "optimized geometry", "lattice_angstrom": [[4.8721, 0.0000, 0.0000], [0.0000, 4.8721, 0.0000], [0.0000, 0.0000, 4.8721]], "species": ["Tl", "Tc", "Pt", "Pt", "Pt"], "fractional_positions": [[0.5000, 0.5000, 0.5000], [0.0000, 0.0000, 0.0000], [0.0000, 0.5000, 0.0000], [0.0000, 0.0000, 0.5000], [0.5000, 0.0000, 0.0000]], "space_group": "Pm-3m, No. 221", "formation_enthalpy_0k_ev_per_fu": 4.6, "de_polymorph_mev_per_atom": 0}

---

10.
{"formula": "Tl2TcPt", "functional": "PBE", "state": "optimized geometry", "lattice_angstrom": [[7.6444, 0.0000, 0.0000], [0.0000, 7.6444, 0.0000], [3.8222, 3.8222, 2.9560]], "species": ["Tl", "Tl", "Tl", "Tl", "Tc", "Tc", "Pt", "Pt"], "fractional_positions": [[0.6341, 0.1250, 0.2500], [0.1159, 0.6250, 0.2500], [0.3750, 0.3659, 0.7500], [0.8750, 0.8841, 0.7500], [0.5000, 0.5000, 0.0000], [0.2500, 0.7500, 0.5000], [0.0000, 0.0000, 0.0000], [0.7500, 0.2500, 0.5000]], "space_group": "I-42d, No. 122", "formation_enthalpy_0k_ev_per_fu": 2.8, "de_polymorph_mev_per_atom": 372}

---

11.
{"formula": "Tl2TcPt", "functional": "PBE", "state": "optimized geometry", "lattice_angstrom": [[-5.6262, -1.2193, -3.0092], [-5.7838, -1.4758, 2.5625], [5.1496, 3.8728, -0.8246]], "species": ["Pt", "Tc", "Tl", "Tl"], "fractional_positions": [[0.4454, 0.4454, 0.0000], [0.2573, 0.7573, 0.5000], [0.0401, 0.0401, 0.0000], [0.7572, 0.2572, 0.5000]], "space_group": "Imm2, No. 44", "formation_enthalpy_0k_ev_per_fu": 1.8, "de_polymorph_mev_per_atom": 106}

---

12.
{"formula": "Tl2TcPt", "functional": "PBE", "state": "optimized geometry", "lattice_angstrom": [[-2.7281, -1.4546, -0.5086], [-0.4341, -1.0693, 5.3863], [-2.4655, 3.2034, 4.0624]], "species": ["Pt", "Tc", "Tl", "Tl"], "fractional_positions": [[0.5000, 0.5000, 0.5000], [0.0000, 0.0000, 0.5000], [0.0000, 0.0000, 0.0000], [0.5000, 0.5000, 0.0000]], "space_group": "P2/m, No. 10", "formation_enthalpy_0k_ev_per_fu": 2.0, "de_polymorph_mev_per_atom": 171}

---

no.,electronic total energy (eV/atom)
1,-7.727
2,-8.439
3,-4.951
4,-4.918
5,-4.819
6,-4.720
7,-4.627
8,-4.723
9,-5.252
10,-4.579
11,-4.845
12,-4.779